[1]
A plane-wave DFT calculation with PBE was carried out for a relaxed structure of Pr2Nd3Y6Ho.

For the formation energy, the calculation gives 0.011 eV/atom. The calculation puts the total energy at -5.59 eV per atom. The density of states at the Fermi level is 29.72 states/eV/cell. The value obtained for the magnetization is 0.0 μB/cell. The crystal system is monoclinic.

It has space group C2/m (No. 12), with a = 6.2781 Å, b = 10.8703 Å, c = 11.9135 Å, α = 90.00°, β = 100.08° and γ = 90.00°. The distinct sites, in fractional coordinates, are Pr at (0.0000, 0.1664, 0.0000), Nd at (0.0000, 0.0000, 0.5000), Nd at (0.0000, 0.3331, 0.5000), Y at (0.2493, 0.3336, 0.2494), Y at (0.2504, 0.0000, 0.2498) and Ho at (0.0000, 0.5000, 0.0000).

[2]
A plane-wave DFT calculation with PBE was carried out for a relaxed structure of PrNdY2Ho.

For the formation energy, the calculation gives 0.381 eV/atom. The calculation puts the total energy at -5.03 eV per atom. The density of states at the Fermi level is 34.15 states/eV/cell. The value obtained for the magnetization is 0.0 μB/cell. The crystal system is orthorhombic.

It has space group Cmcm (No. 63), with a = 8.5100 Å, b = 11.6225 Å, c = 7.2078 Å, α = 90.00°, β = 90.00° and γ = 90.00°. The distinct sites, in fractional coordinates, are Pr at (0.0000, 0.2315, 0.2500), Nd at (0.0000, 0.4992, 0.2500), Y at (0.1868, 0.0000, 0.0000) and Ho at (0.0000, 0.2226, 0.7500).

[3]
A plane-wave DFT calculation with PBE was carried out for a relaxed structure of PrNd6Y2Ho.

For the formation energy, the calculation gives 0.115 eV/atom. The calculation puts the total energy at -4.97 eV per atom. The density of states at the Fermi level is 58.59 states/eV/cell. The value obtained for the magnetization is 0.0 μB/cell. The crystal system is monoclinic.

It has space group C2/c (No. 15), with a = 9.5183 Å, b = 15.2540 Å, c = 9.6069 Å, α = 90.00°, β = 95.71° and γ = 90.00°. The distinct sites, in fractional coordinates, are Pr at (0.0000, 0.0362, 0.2500), Nd at (0.0633, 0.1749, 0.9414), Nd at (0.0909, 0.3855, 0.1151), Nd at (0.2204, 0.2236, 0.3155), Y at (0.2483, 0.4533, 0.4475) and Ho at (0.0000, 0.4112, 0.7500).

[4]
A plane-wave DFT calculation with PBE was carried out for a relaxed structure of PrNdY5Ho2.

For the formation energy, the calculation gives 0.158 eV/atom. The calculation puts the total energy at -5.51 eV per atom. The density of states at the Fermi level is 60.64 states/eV/cell. The value obtained for the magnetization is 0.0 μB/cell. The crystal system is orthorhombic.

It has space group Cmc2_1 (No. 36), with a = 5.6689 Å, b = 20.0938 Å, c = 10.5987 Å, α = 90.00°, β = 90.00° and γ = 90.00°. The distinct sites, in fractional coordinates, are Pr at (0.0000, 0.1989, 0.0000), Nd at (0.0000, 0.4166, 0.4328), Y at (0.0000, 0.0165, 0.0106), Y at (0.0000, 0.2795, 0.3015), Y at (0.0000, 0.2991, 0.6932), Y at (0.0000, 0.3889, 0.0104), Y at (0.0000, 0.4775, 0.7213), Ho at (0.0000, 0.1108, 0.7200) and Ho at (0.0000, 0.1129, 0.3069).

[5]
A plane-wave DFT calculation with PBE was carried out for a relaxed structure of Pr2NdY5Ho.

For the formation energy, the calculation gives 0.243 eV/atom. The calculation puts the total energy at -5.45 eV per atom. The density of states at the Fermi level is 42.21 states/eV/cell. The value obtained for the magnetization is 0.0 μB/cell. The crystal system is tetragonal.

It has space group I4/mcm (No. 140), with a = 8.6646 Å, b = 8.6646 Å, c = 15.9096 Å, α = 90.00°, β = 90.00° and γ = 90.00°. The distinct sites, in fractional coordinates, are Pr at (0.1190, 0.3810, 0.0000), Nd at (0.0000, 0.5000, 0.2500), Y at (0.0000, 0.0000, 0.0000), Y at (0.2090, 0.2910, 0.3604) and Ho at (0.0000, 0.0000, 0.2500).

[6]
A plane-wave DFT calculation with PBE was carried out for a relaxed structure of Pr2Nd5YHo.

For the formation energy, the calculation gives 0.267 eV/atom. The calculation puts the total energy at -4.67 eV per atom. The density of states at the Fermi level is 55.49 states/eV/cell. The value obtained for the magnetization is 0.0 μB/cell. The crystal system is tetragonal.

It has space group I4/mcm (No. 140), with a = 8.6822 Å, b = 8.6822 Å, c = 16.7956 Å, α = 90.00°, β = 90.00° and γ = 90.00°. The distinct sites, in fractional coordinates, are Pr at (0.1218, 0.3782, 0.0000), Nd at (0.0000, 0.0000, 0.0000), Nd at (0.2189, 0.2811, 0.3562), Y at (0.0000, 0.5000, 0.2500) and Ho at (0.0000, 0.0000, 0.2500).

[7]
A plane-wave DFT calculation with PBE was carried out for a relaxed structure of PrNd2Y2Ho.

For the formation energy, the calculation gives 0.251 eV/atom. The calculation puts the total energy at -5.05 eV per atom. The density of states at the Fermi level is 18.75 states/eV/cell. The value obtained for the magnetization is 0.0 μB/cell. The crystal system is orthorhombic.

It has space group Pnnm (No. 58), with a = 6.6732 Å, b = 17.9075 Å, c = 3.4391 Å, α = 90.00°, β = 90.00° and γ = 90.00°. The distinct sites, in fractional coordinates, are Pr at (0.0000, 0.0000, 0.0000), Nd at (0.2228, 0.3501, 0.5000), Y at (0.2276, 0.1812, 0.0000) and Ho at (0.0000, 0.5000, 0.0000).

[8]
A plane-wave DFT calculation with PBE was carried out for a relaxed structure of Pr2NdY6Ho.

For the formation energy, the calculation gives 0.117 eV/atom. The calculation puts the total energy at -5.65 eV per atom. The density of states at the Fermi level is 62.38 states/eV/cell. The value obtained for the magnetization is 0.0 μB/cell. The crystal system is monoclinic.

It has space group C2/c (No. 15), with a = 9.1204 Å, b = 15.0492 Å, c = 9.9580 Å, α = 90.00°, β = 100.86° and γ = 90.00°. The distinct sites, in fractional coordinates, are Pr at (0.2371, 0.0488, 0.0437), Nd at (0.0000, 0.4032, 0.2500), Y at (0.0680, 0.1889, 0.4437), Y at (0.1007, 0.3972, 0.6189), Y at (0.1967, 0.2225, 0.8152) and Ho at (0.0000, 0.0162, 0.7500).